An optimized crystal structure of ZnSe2NO, computed with PBE-GGA.

Computed properties:
- Formation energy from raw total energies: 1.481 eV/atom
- Spin magnetization: 1.5 μB/cell
- Total DFT energy (no corrections): -14.12 eV per cell
- Density of states at the Fermi level: 4.728 states/eV per cell

Geometry as CIF:
```
data_ZnSe2NO
_symmetry_space_group_name_H-M 'P 1'
_symmetry_Int_Tables_number 1
_symmetry_space_group_name_Hall 'P 1'
_cell_length_a 5.007
_cell_length_b 5.007
_cell_length_c 3.649
_cell_angle_alpha 90.00
_cell_angle_beta 90.00
_cell_angle_gamma 90.00
loop_
_atom_site_label
_atom_site_fract_x
_atom_site_fract_y
_atom_site_fract_z
Se1 0.000 0.500 0.000
Se2 0.500 0.000 0.000
Zn1 0.000 0.000 0.000
N1 0.000 0.000 0.500
O1 0.500 0.500 0.500
```